Density functional theory data (PBE) for an optimized crystal structure of LiGeMo.

Computed properties:
The value obtained for the formation energy is 0.00 eV per atom. The calculation puts the density at 5.962 g cm⁻³.

Lattice parameters (Å, degrees): 7.349 7.349 7.349 31.78 31.78 31.78
Fractional coordinates of all 6 atoms:
Li  0.141  0.141  0.141
Li  0.859  0.859  0.859
Ge  0.423  0.423  0.423
Ge  0.577  0.577  0.577
Mo  0.296  0.296  0.296
Mo  0.704  0.704  0.704


Density functional theory data (PBE) for an optimized crystal structure of LiGeMo3.

Computed properties:
The value obtained for the formation energy is 1.20 eV per atom. For the energy above the most stable polymorph in this dataset, the calculation gives 0.000 eV/atom. The calculation puts the density at 8.090 g cm⁻³.

Lattice parameters (Å, degrees): 4.225 4.225 4.225 90.00 90.00 90.00
Fractional coordinates of all 5 atoms:
Li  0.000  0.000  0.000
Ge  0.500  0.500  0.500
Mo  0.000  0.000  0.500
Mo  0.000  0.500  0.000
Mo  0.500  0.000  0.000